Entry 1:
The following is a PBE calculation of crystalline AlV2AgPt at its relaxed geometry, from the Alexandria database.

## Properties
energy of formation = 927.2 meV/atom
total moment = 5.0 μB/cell
D(E_F) = 1.165 states/eV per atom

Lattice parameters (Å, degrees): 4.733 4.733 5.100 90.00 90.00 90.00
Space group P4/mmm (No. 123)
Symmetry-distinct sites (fractional):
Al 0.000 0.000 0.000 (multiplicity 1)
V 0.000 0.500 0.500 (multiplicity 2)
Ag 0.500 0.500 0.000 (multiplicity 1)
Pt 0.500 0.500 0.500 (multiplicity 1)

***

Entry 2:
The following is a PBE calculation of crystalline ScCuS2 at its relaxed geometry, from the Alexandria database.

## Properties
formation energy without anion corrections = -76.74 kJ per mole of atoms
total moment = 0.0 μB/cell
D(E_F) = 0.024 states/eV per atom

Lattice parameters (Å, degrees): 6.351 6.351 6.351 90.00 90.00 90.00
Space group Fm-3m (No. 225)
Symmetry-distinct sites (fractional):
Sc 0.000 0.000 0.000 (multiplicity 4)
Cu 0.000 0.000 0.500 (multiplicity 4)
S 0.250 0.250 0.250 (multiplicity 8)

***

Entry 3:
The following is a PBE calculation of crystalline Zn2AgIr at its relaxed geometry, from the Alexandria database.

## Properties
energy of formation = -2.4 meV/atom
total moment = 0.0 μB/cell
D(E_F) = 0.596 states/eV per atom

Lattice parameters (Å, degrees): 8.587 2.939 4.996 90.00 101.53 90.00
Space group C2/m (No. 12)
Symmetry-distinct sites (fractional):
Zn 0.244 0.000 0.228 (multiplicity 4)
Ag 0.000 0.000 0.500 (multiplicity 2)
Ir 0.000 0.500 0.000 (multiplicity 2)

***

Entry 4:
The following is a PBE calculation of crystalline LuThTlCu at its relaxed geometry, from the Alexandria database.

## Properties
energy of formation = -83.9 meV/atom
total moment = 0.1 μB/cell
D(E_F) = 1.269 states/eV per atom

Lattice parameters (Å, degrees): 7.393 7.393 7.393 90.00 90.00 90.00
Space group F-43m (No. 216)
Symmetry-distinct sites (fractional):
Lu 0.000 0.000 0.000 (multiplicity 4)
Th 0.000 0.000 0.500 (multiplicity 4)
Tl 0.250 0.250 0.750 (multiplicity 4)
Cu 0.250 0.250 0.250 (multiplicity 4)

***

Entry 5:
The following is a PBE calculation of crystalline Ba2PmInTe4 at its relaxed geometry, from the Alexandria database.

## Properties
formation energy without anion corrections = -128.90 kJ per mole of atoms
total moment = 0.0 μB/cell
D(E_F) = 0.037 states/eV per atom

Lattice parameters (Å, degrees): 8.152 4.796 8.519 90.00 108.76 90.00
Space group P2/m (No. 10)
Symmetry-distinct sites (fractional):
Ba 0.000 0.000 0.000 (multiplicity 1)
Ba 0.000 0.500 0.500 (multiplicity 1)
Pm 0.500 0.000 0.500 (multiplicity 1)
In 0.500 0.500 0.000 (multiplicity 1)
Te 0.271 0.000 0.739 (multiplicity 2)
Te 0.277 0.500 0.269 (multiplicity 2)

***

Entry 6:
The following is a PBE calculation of crystalline SrDyCdPd at its relaxed geometry, from the Alexandria database.

## Properties
energy of formation = -395.5 meV/atom
total moment = 0.0 μB/cell
D(E_F) = 0.894 states/eV per atom

Lattice parameters (Å, degrees): 7.467 7.467 7.467 90.00 90.00 90.00
Space group F-43m (No. 216)
Symmetry-distinct sites (fractional):
Sr 0.000 0.000 0.000 (multiplicity 4)
Dy 0.000 0.000 0.500 (multiplicity 4)
Cd 0.250 0.250 0.750 (multiplicity 4)
Pd 0.250 0.250 0.250 (multiplicity 4)

***

Entry 7:
The following is a PBE calculation of crystalline La7Pd3 at its relaxed geometry, from the Alexandria database.

## Properties
energy of formation = -520.7 meV/atom
total moment = 0.0 μB/cell
D(E_F) = 1.237 states/eV per atom

Lattice parameters (Å, degrees): 10.3875 10.3875 6.5859 90.00 90.00 120.00
Space group P6_3mc (No. 186)
Symmetry-distinct sites (fractional):
La 0.0753 0.5377 0.0000 (multiplicity 6)
La 0.1254 0.2508 0.2977 (multiplicity 6)
La 0.3333 0.6667 0.5075 (multiplicity 2)
Pd 0.1883 0.3765 0.7494 (multiplicity 6)

***

Entry 8:
The following is a PBE calculation of crystalline LiPrAlGa2 at its relaxed geometry, from the Alexandria database.

## Properties
energy of formation = -509.6 meV/atom
total moment = 0.0 μB/cell
D(E_F) = 0.336 states/eV per atom

Lattice parameters (Å, degrees): 4.259 4.259 11.045 90.00 90.00 90.00
Space group I-4m2 (No. 119)
Symmetry-distinct sites (fractional):
Li 0.000 0.000 0.000 (multiplicity 2)
Pr 0.000 0.500 0.750 (multiplicity 2)
Al 0.000 0.000 0.500 (multiplicity 2)
Ga 0.000 0.500 0.136 (multiplicity 4)

***

Entry 9:
The following is a PBE calculation of crystalline BaSb4W at its relaxed geometry, from the Alexandria database.

## Properties
formation energy without anion corrections = 65.12 kJ per mole of atoms
total moment = 17.8 μB/cell
D(E_F) = 0.914 states/eV per atom

Lattice parameters (Å, degrees): 8.971 8.971 8.971 90.00 90.00 90.00
Space group F-43m (No. 216)
Symmetry-distinct sites (fractional):
Ba 0.000 0.000 0.000 (multiplicity 4)
Sb 0.124 0.124 0.624 (multiplicity 16)
W 0.250 0.250 0.250 (multiplicity 4)

***

Entry 10:
The following is a PBE calculation of crystalline RbTbBr4 at its relaxed geometry, from the Alexandria database.

## Properties
formation energy without anion corrections = -179.64 kJ per mole of atoms
total moment = 0.0 μB/cell
D(E_F) = 0.000 states/eV per atom

Lattice parameters (Å, degrees): 8.549 18.946 7.169 90.00 112.13 90.00
Space group C2/c (No. 15)
Symmetry-distinct sites (fractional):
Rb 0.000 0.181 0.250 (multiplicity 4)
Tb 0.000 0.434 0.250 (multiplicity 4)
Br 0.197 0.454 0.665 (multiplicity 8)
Br 0.227 0.333 0.236 (multiplicity 8)

***

Entry 11:
The following is a PBE calculation of crystalline Pt2RhCl at its relaxed geometry, from the Alexandria database.

## Properties
formation energy without anion corrections = 20.50 kJ per mole of atoms
total moment = 0.0 μB/cell
D(E_F) = 1.371 states/eV per atom

Lattice parameters (Å, degrees): 2.9184 2.9184 8.6647 90.00 90.00 120.00
Space group P3m1 (No. 156)
Symmetry-distinct sites (fractional):
Pt 0.0000 0.0000 0.0000 (multiplicity 1)
Pt 0.3333 0.6667 0.2553 (multiplicity 1)
Rh 0.6667 0.3333 0.7595 (multiplicity 1)
Cl 0.3333 0.6667 0.5331 (multiplicity 1)

***

Entry 12:
The following is a PBE calculation of crystalline HoIrN at its relaxed geometry, from the Alexandria database.

## Properties
formation energy without anion corrections = -76.89 kJ per mole of atoms
total moment = 0.0 μB/cell
D(E_F) = 0.437 states/eV per atom

Lattice parameters (Å, degrees): 9.198 3.356 5.871 90.00 90.00 90.00
Space group Pnma (No. 62)
Symmetry-distinct sites (fractional):
Ho 0.151 0.250 0.124 (multiplicity 4)
Ir 0.076 0.250 0.642 (multiplicity 4)
N 0.118 0.750 0.834 (multiplicity 4)

***

Entry 13:
The following is a PBE calculation of crystalline BaMg5Hg6 at its relaxed geometry, from the Alexandria database.

## Properties
energy of formation = -254.6 meV/atom
total moment = 0.0 μB/cell
D(E_F) = 0.324 states/eV per atom

Lattice parameters (Å, degrees): 4.821 7.749 8.530 77.99 73.94 89.94
Space group P-1 (No. 2)
Symmetry-distinct sites (fractional):
Ba 0.000 0.000 0.000 (multiplicity 1)
Mg 0.000 0.500 0.000 (multiplicity 1)
Mg 0.311 0.994 0.371 (multiplicity 2)
Mg 0.353 0.587 0.286 (multiplicity 2)
Hg 0.175 0.668 0.652 (multiplicity 2)
Hg 0.204 0.246 0.599 (multiplicity 2)
Hg 0.457 0.285 0.088 (multiplicity 2)

***

Entry 14:
The following is a PBE calculation of crystalline DyTmNb at its relaxed geometry, from the Alexandria database.

## Properties
energy of formation = 322.7 meV/atom
total moment = 0.0 μB/cell
D(E_F) = 1.373 states/eV per atom

Lattice parameters (Å, degrees): 3.180 19.534 4.867 90.00 90.00 90.00
Space group Cmcm (No. 63)
Symmetry-distinct sites (fractional):
Dy 0.000 0.052 0.250 (multiplicity 4)
Tm 0.000 0.363 0.250 (multiplicity 4)
Nb 0.000 0.215 0.250 (multiplicity 4)

***

Entry 15:
The following is a PBE calculation of crystalline SiRh2W at its relaxed geometry, from the Alexandria database.

## Properties
formation energy without anion corrections = -12.13 kJ per mole of atoms
total moment = 0.0 μB/cell
D(E_F) = 0.929 states/eV per atom

Lattice parameters (Å, degrees): 6.110 6.110 6.110 90.00 90.00 90.00
Space group F-43m (No. 216)
Symmetry-distinct sites (fractional):
Si 0.000 0.000 0.000 (multiplicity 4)
Rh 0.000 0.000 0.500 (multiplicity 4)
Rh 0.250 0.250 0.750 (multiplicity 4)
W 0.250 0.250 0.250 (multiplicity 4)

***

Entry 16:
The following is a PBE calculation of crystalline Rb2NaCuO2 at its relaxed geometry, from the Alexandria database.

## Properties
formation energy without anion corrections = -91.09 kJ per mole of atoms
total moment = 0.0 μB/cell

Lattice parameters (Å, degrees): 6.157 10.253 3.993 90.00 90.00 90.00
Space group Pnnm (No. 58)
Symmetry-distinct sites (fractional):
Rb 0.125 0.249 0.000 (multiplicity 4)
Na 0.000 0.000 0.500 (multiplicity 2)
Cu 0.000 0.500 0.500 (multiplicity 2)
O 0.234 0.920 0.000 (multiplicity 4)

***

Entry 17:
The following is a PBE calculation of crystalline Mg2IrW at its relaxed geometry, from the Alexandria database.

## Properties
energy of formation = 148.9 meV/atom
total moment = 0.0 μB/cell
D(E_F) = 0.710 states/eV per atom

Lattice parameters (Å, degrees): 2.962 4.686 4.712 90.00 90.00 90.00
Space group Pmmm (No. 47)
Symmetry-distinct sites (fractional):
Mg 0.000 0.000 0.000 (multiplicity 1)
Mg 0.500 0.500 0.000 (multiplicity 1)
Ir 0.000 0.500 0.500 (multiplicity 1)
W 0.500 0.000 0.500 (multiplicity 1)

***

Entry 18:
The following is a PBE calculation of crystalline AlAg2AsPd at its relaxed geometry, from the Alexandria database.

## Properties
energy of formation = 356.3 meV/atom
total moment = 0.0 μB/cell
D(E_F) = 0.149 states/eV per atom

Lattice parameters (Å, degrees): 4.927 4.927 4.757 90.00 90.00 90.00
Space group P4/mmm (No. 123)
Symmetry-distinct sites (fractional):
Al 0.000 0.000 0.000 (multiplicity 1)
Ag 0.000 0.500 0.500 (multiplicity 2)
As 0.500 0.500 0.500 (multiplicity 1)
Pd 0.500 0.500 0.000 (multiplicity 1)

***

Entry 19:
The following is a PBE calculation of crystalline PuZrCd2 at its relaxed geometry, from the Alexandria database.

## Properties
energy of formation = 41.9 meV/atom
total moment = 5.8 μB/cell
D(E_F) = 2.522 states/eV per atom

Lattice parameters (Å, degrees): 5.620 5.620 3.023 90.00 90.00 90.00
Space group P4/mmm (No. 123)
Symmetry-distinct sites (fractional):
Pu 0.000 0.000 0.000 (multiplicity 1)
Zr 0.500 0.500 0.000 (multiplicity 1)
Cd 0.000 0.500 0.500 (multiplicity 2)

***

Entry 20:
The following is a PBE calculation of crystalline TbPm3Y2As6 at its relaxed geometry, from the Alexandria database.

## Properties
energy of formation = -1536.8 meV/atom
total moment = 0.0 μB/cell
D(E_F) = 0.148 states/eV per atom

Lattice parameters (Å, degrees): 18.231 4.186 8.364 90.00 103.21 90.00
Space group C2/m (No. 12)
Symmetry-distinct sites (fractional):
Tb 0.000 0.000 0.000 (multiplicity 2)
Pm 0.000 0.000 0.500 (multiplicity 2)
Pm 0.167 0.500 0.833 (multiplicity 4)
Y 0.167 0.500 0.333 (multiplicity 4)
As 0.001 0.500 0.247 (multiplicity 4)
As 0.165 0.000 0.087 (multiplicity 4)
As 0.168 0.000 0.580 (multiplicity 4)

***

Entry 21:
The following is a PBE calculation of crystalline Hf3NbRh at its relaxed geometry, from the Alexandria database.

## Properties
energy of formation = 1136.9 meV/atom
total moment = 0.0 μB/cell
D(E_F) = 1.591 states/eV per atom

Lattice parameters (Å, degrees): 4.961 4.961 4.961 90.00 90.00 90.00
Space group Pm-3m (No. 221)
Symmetry-distinct sites (fractional):
Hf 0.000 0.000 0.500 (multiplicity 3)
Nb 0.000 0.000 0.000 (multiplicity 1)
Rh 0.500 0.500 0.500 (multiplicity 1)

***

Entry 22:
The following is a PBE calculation of crystalline Sr2V2Sn at its relaxed geometry, from the Alexandria database.

## Properties
energy of formation = 279.2 meV/atom
total moment = 0.0 μB/cell
D(E_F) = 0.988 states/eV per atom

Lattice parameters (Å, degrees): 3.470 3.470 21.907 90.00 90.00 90.00
Space group I4/mmm (No. 139)
Symmetry-distinct sites (fractional):
Sr 0.000 0.000 0.110 (multiplicity 4)
V 0.000 0.500 0.250 (multiplicity 4)
Sn 0.000 0.000 0.500 (multiplicity 2)

***

Entry 23:
The following is a PBE calculation of crystalline CaSb2 at its relaxed geometry, from the Alexandria database.

## Properties
formation energy without anion corrections = -44.68 kJ per mole of atoms
total moment = 0.0 μB/cell
D(E_F) = 0.316 states/eV per atom

Lattice parameters (Å, degrees): 3.406 4.765 11.579 90.00 90.00 90.00
Space group Immm (No. 71)
Symmetry-distinct sites (fractional):
Ca 0.000 0.000 0.000 (multiplicity 2)
Sb 0.000 0.000 0.372 (multiplicity 4)

***

Entry 24:
The following is a PBE calculation of crystalline Ce4GeAs2P at its relaxed geometry, from the Alexandria database.

## Properties
energy of formation = -1246.6 meV/atom
total moment = 2.2 μB/cell
D(E_F) = 2.105 states/eV per atom

Lattice parameters (Å, degrees): 7.257 4.187 7.257 90.00 109.44 90.00
Space group P2/m (No. 10)
Symmetry-distinct sites (fractional):
Ce 0.245 0.000 0.244 (multiplicity 2)
Ce 0.248 0.500 0.753 (multiplicity 2)
Ge 0.000 0.000 0.500 (multiplicity 1)
As 0.500 0.000 0.000 (multiplicity 1)
As 0.500 0.500 0.500 (multiplicity 1)
P 0.000 0.500 0.000 (multiplicity 1)

***

Entry 25:
The following is a PBE calculation of crystalline Sr2Ge4PtAu3 at its relaxed geometry, from the Alexandria database.

## Properties
energy of formation = -547.5 meV/atom
total moment = 0.0 μB/cell
D(E_F) = 0.550 states/eV per atom

Lattice parameters (Å, degrees): 4.537 4.537 10.586 90.00 90.00 90.00
Space group P-4m2 (No. 115)
Symmetry-distinct sites (fractional):
Sr 0.000 0.500 0.245 (multiplicity 2)
Ge 0.000 0.000 0.500 (multiplicity 1)
Ge 0.000 0.500 0.879 (multiplicity 2)
Ge 0.500 0.500 0.500 (multiplicity 1)
Pt 0.500 0.500 0.000 (multiplicity 1)
Au 0.000 0.000 0.000 (multiplicity 1)
Au 0.000 0.500 0.635 (multiplicity 2)

***

Entry 26:
The following is a PBE calculation of crystalline P2IrSeCl at its relaxed geometry, from the Alexandria database.

## Properties
formation energy without anion corrections = 152.00 kJ per mole of atoms
total moment = 0.3 μB/cell
D(E_F) = 1.200 states/eV per atom

Lattice parameters (Å, degrees): 4.794 4.794 4.481 90.00 90.00 90.00
Space group P4/mmm (No. 123)
Symmetry-distinct sites (fractional):
P 0.000 0.500 0.000 (multiplicity 2)
Ir 0.000 0.000 0.500 (multiplicity 1)
Se 0.500 0.500 0.000 (multiplicity 1)
Cl 0.500 0.500 0.500 (multiplicity 1)